Arrangement a

The following is a DFT calculation (GGA-PBE) of a relaxed structure of MgBeNb2.

Calculated values
The total moment is 0.00 μB per formula unit.

a b c (Å): 3.7892 3.7892 20.0658
angles (deg): 90.00 90.00 90.00
Space group I-42d (No. 122)
Asymmetric unit:
1 Mg 0.0000 0.0000 0.0000 [4 per cell]
2 Be 0.0000 0.0000 0.5000 [4 per cell]
3 Nb 0.2412 0.2500 0.6250 [8 per cell]


Arrangement b

The following is a DFT calculation (GGA-PBE) of a relaxed structure of MgBeNb2.

Calculated values
The total moment is 0.00 μB per formula unit.

a b c (Å): 6.3574 6.3574 6.3574
angles (deg): 90.00 90.00 90.00
Space group Fm-3m (No. 225)
Asymmetric unit:
1 Mg 0.0000 0.0000 0.0000 [4 per cell]
2 Be 0.0000 0.0000 0.5000 [4 per cell]
3 Nb 0.2500 0.2500 0.2500 [8 per cell]


Least stable = arrangement a


Arrangement a

The following is a DFT calculation (GGA-PBE) of a relaxed structure of Mg3BeNi.

Calculated values
The total moment is 0.71 μB per formula unit.

a b c (Å): 4.6109 4.6109 4.6109
angles (deg): 90.00 90.00 90.00
Space group Pm-3m (No. 221)
Asymmetric unit:
1 Mg 0.0000 0.0000 0.5000 [3 per cell]
2 Be 0.0000 0.0000 0.0000 [1 per cell]
3 Ni 0.5000 0.5000 0.5000 [1 per cell]


Arrangement b

The following is a DFT calculation (GGA-PBE) of a relaxed structure of Mg3BeNi.

Calculated values
The total moment is 0.00 μB per formula unit.

a b c (Å): 4.7394 4.7394 4.7394
angles (deg): 90.00 90.00 90.00
Space group Pm-3m (No. 221)
Asymmetric unit:
1 Mg 0.0000 0.0000 0.5000 [3 per cell]
2 Be 0.5000 0.5000 0.5000 [1 per cell]
3 Ni 0.0000 0.0000 0.0000 [1 per cell]


Least stable = arrangement a